First-principles (PBE) data for crystalline ZnCuSe at its relaxed geometry, as listed in Alexandria via LeMat-Bulk.

Output
- ΔE to the lowest computed polymorph: 246 meV per atom
- Uncorrected formation energy: 0.21 eV per atom

Cell: 6.1587 6.1233 2.9534 Å, 76.75 75.42 27.83°
With the nearest neighbours (Å) after each atom.
Fractional coordinates of all 3 atoms:
Cu 0.0061 0.0061 0.9939  4 Zn 2.57-2.65, 4 Se 2.70-2.78
Se 0.3524 0.3524 0.6476  4 Cu 2.70-2.78, 4 Se 2.95
Zn 0.6416 0.6416 0.3584  4 Cu 2.57-2.65

---

First-principles (PBE) data for crystalline RbTl2 at its relaxed geometry, as listed in Alexandria via LeMat-Bulk.

Output
- ΔE to the lowest computed polymorph: 28 meV per atom
- Formation energy from the elements: -0.07 eV per atom

Cell: 4.1659 4.1659 7.3357 Å, 106.50 106.50 90.00°
With the nearest neighbours (Å) after each atom.
Fractional coordinates of all 3 atoms:
Tl 0.6927 0.6927 0.3853  4 Tl 3.32
Tl 0.3073 0.3073 0.6147  4 Tl 3.32
Rb 0.0000 0.0000 0.0000  10 Tl 3.92-4.13, 4 Rb 4.17

---

First-principles (PBE) data for crystalline Pm2ErIn5 at its relaxed geometry, as listed in Alexandria via LeMat-Bulk.

Output
- Formation energy from the elements: -0.45 eV per atom

Cell: 6.5835 6.5835 6.5835 Å, 99.51 114.67 114.67°
With the nearest neighbours (Å) after each atom.
Fractional coordinates of all 8 atoms:
Pm 0.5000 0.2344 0.7344  10 In 3.26-3.56, 2 Er 3.63
Pm 0.5000 0.7344 0.2344  10 In 3.26-3.56, 2 Er 3.63
Er 0.0000 0.1463 0.1463  9 In 3.21-3.54
In 0.4310 0.6907 0.6907  4 In 3.06-3.38, 1 Er 3.21, 4 Pm 3.26-3.36
In 0.0000 0.2596 0.6907  4 In 3.06-3.38, 1 Er 3.21, 4 Pm 3.26-3.36
In 0.0000 0.6907 0.2596  4 In 3.06-3.38, 1 Er 3.21, 4 Pm 3.26-3.36
In 0.5690 0.2596 0.2596  4 In 3.06-3.38, 1 Er 3.21, 4 Pm 3.26-3.36
In 0.0000 0.7622 0.7622  8 In 3.26-3.38, 1 Er 3.27, 4 Pm 3.56

---

First-principles (PBE) data for crystalline CsBi2Sb2 at its relaxed geometry, as listed in Alexandria via LeMat-Bulk.

Output
- ΔE to the lowest computed polymorph: 180 meV per atom
- Uncorrected formation energy: -0.01 eV per atom

Cell: 9.6551 9.6551 3.9776 Å, 90.00 90.00 90.00°
With the nearest neighbours (Å) after each atom.
Fractional coordinates of all 10 atoms:
Cs 0.0000 0.0000 0.0000  4 Bi 3.88, 2 Cs 3.98, 8 Sb 4.17
Cs 0.5000 0.5000 0.0000  4 Bi 3.88, 2 Cs 3.98, 8 Sb 4.17
Sb 0.1533 0.6533 0.5000  4 Bi 3.28
Sb 0.6533 0.8467 0.5000  4 Bi 3.28
Sb 0.8467 0.3467 0.5000  4 Bi 3.28
Sb 0.3467 0.1533 0.5000  4 Bi 3.28
Bi 0.3857 0.8857 0.0000  1 Bi 3.12, 4 Sb 3.28
Bi 0.8857 0.6143 0.0000  1 Bi 3.12, 4 Sb 3.28
Bi 0.6143 0.1143 0.0000  1 Bi 3.12, 4 Sb 3.28
Bi 0.1143 0.3857 0.0000  1 Bi 3.12, 4 Sb 3.28

---

First-principles (PBE) data for crystalline Mg4Si7 at its relaxed geometry, as listed in Alexandria via LeMat-Bulk.

Output
- ΔE to the lowest computed polymorph: 7 meV per atom
- Uncorrected formation energy: 0.10 eV per atom

Cell: 3.9511 6.9591 14.8835 Å, 95.31 96.55 91.78°
With the nearest neighbours (Å) after each atom.
Fractional coordinates of all 22 atoms:
Mg 0.1620 0.1799 0.9403  4 Si 2.75-3.05
Mg 0.9533 0.3539 0.5073  4 Si 2.72-2.89
Mg 0.3722 0.1716 0.3639  6 Si 2.71-3.00
Mg 0.5197 0.5715 0.6528  6 Si 2.76-3.03
Mg 0.1163 0.6004 0.8257  7 Si 2.69-2.95
Mg 0.6197 0.4823 0.1100  5 Si 2.67-2.95
Mg 0.4287 0.6461 0.4197  7 Si 2.72-2.98
Mg 0.4842 0.0449 0.5775  8 Si 2.83-2.99, 1 Mg 3.12
Si 0.6844 0.4592 0.9327  2 Si 2.37-2.42
Si 0.6299 0.8043 0.9600  4 Si 2.42-2.49
Si 0.1686 0.8358 0.0578  3 Si 2.38-2.46
Si 0.2074 0.1608 0.1250  3 Si 2.38-2.43
Si 0.9802 0.7409 0.5550  2 Si 2.39-2.44
Si 0.9167 0.9617 0.4412  2 Si 2.39-2.47
Si 0.7526 0.1530 0.2179  4 Si 2.39-2.46
Si 0.5729 0.9354 0.8090  4 Si 2.47-2.49
Si 0.0250 0.2690 0.6868  3 Si 2.47-2.57
Si 0.1827 0.6610 0.2235  3 Si 2.39-2.53
Si 0.8910 0.4422 0.3205  2 Si 2.42-2.53
Si 0.5669 0.2838 0.7878  4 Si 2.37-2.48
Si 0.0288 0.9074 0.7081  4 Si 2.44-2.57
Si 0.7331 0.8385 0.2812  4 Si 2.39-2.49

---

First-principles (PBE) data for crystalline KRe2Si at its relaxed geometry, as listed in Alexandria via LeMat-Bulk.

Output
- Uncorrected formation energy: 1.65 eV per atom

Cell: 4.5547 3.9100 3.9100 Å, 90.00 90.00 90.00°
With the nearest neighbours (Å) after each atom.
Fractional coordinates of all 4 atoms:
K 0.5000 0.0000 0.5000  4 Si 2.76, 8 Re 3.00
Re 0.0000 0.0000 0.0000  4 Re 2.76, 4 K 3.00, 4 Si 3.00
Re 0.0000 0.5000 0.5000  4 Re 2.76, 4 K 3.00, 4 Si 3.00
Si 0.5000 0.5000 0.0000  4 K 2.76, 8 Re 3.00

---

First-principles (PBE) data for crystalline Ce2YAs3 at its relaxed geometry, as listed in Alexandria via LeMat-Bulk.

Output
- Formation energy from the elements: -1.47 eV per atom

Cell: 4.1880 5.9249 7.2501 Å, 114.12 106.79 90.00°
With the nearest neighbours (Å) after each atom.
Fractional coordinates of all 6 atoms:
Ce 0.8329 0.8329 0.1659  6 As 2.96-2.97
Ce 0.1671 0.1671 0.8341  6 As 2.96-2.97
Y 0.5000 0.5000 0.5000  6 As 2.95-2.96
As 0.8350 0.3350 0.1701  2 Y 2.95, 4 Ce 2.96-2.97
As 0.1650 0.6650 0.8299  2 Y 2.95, 4 Ce 2.96-2.97
As 0.5000 0.0000 0.5000  2 Y 2.96, 4 Ce 2.96

---

First-principles (PBE) data for crystalline BeBS3 at its relaxed geometry, as listed in Alexandria via LeMat-Bulk.

Output
- ΔE to the lowest computed polymorph: 1330 meV per atom
- Uncorrected formation energy: 0.93 eV per atom

Cell: 4.1231 4.1231 4.1231 Å, 90.00 90.00 90.00°
With the nearest neighbours (Å) after each atom.
Fractional coordinates of all 5 atoms:
Be 0.5000 0.5000 0.5000  12 S 2.92
S 0.0000 0.5000 0.0000  2 B 2.06
S 0.0000 0.0000 0.5000  2 B 2.06
S 0.5000 0.0000 0.0000  2 B 2.06
B 0.0000 0.0000 0.0000  6 S 2.06

---

First-principles (PBE) data for crystalline Co2Ni5Pt12 at its relaxed geometry, as listed in Alexandria via LeMat-Bulk.

Output
- Formation energy from the elements: 0.21 eV per atom

Cell: 5.4281 6.9753 8.6934 Å, 93.39 90.00 112.90°
With the nearest neighbours (Å) after each atom.
Fractional coordinates of all 19 atoms:
Co 0.7174 0.0000 0.0000  1 Co 2.36, 2 Ni 2.46, 4 Pt 2.49-2.63
Co 0.2826 0.0000 0.0000  1 Co 2.36, 2 Ni 2.46, 4 Pt 2.49-2.63
Ni 0.3025 0.6050 0.5844  7 Pt 2.48-2.72
Ni 0.3515 0.7030 0.1041  2 Co 2.46, 7 Pt 2.55-2.60
Ni 0.0000 0.0000 0.5000  6 Pt 2.41-2.54
Ni 0.6485 0.2970 0.8959  2 Co 2.46, 7 Pt 2.55-2.60
Ni 0.6975 0.3950 0.4156  7 Pt 2.48-2.72
Pt 0.0167 0.0333 0.2259  1 Ni 2.41, 2 Co 2.49
Pt 0.0636 0.6241 0.8574  3 Ni 2.55-2.72, 1 Co 2.65, 5 Pt 2.70-2.78
Pt 0.5604 0.6241 0.8574  3 Ni 2.55-2.72, 1 Co 2.65, 5 Pt 2.70-2.78
Pt 0.1054 0.7128 0.3594  4 Ni 2.52-2.60, 5 Pt 2.70-2.78
Pt 0.6074 0.7128 0.3594  4 Ni 2.52-2.60, 5 Pt 2.70-2.78
Pt 0.4752 0.9505 0.7299  2 Ni 2.48-2.57, 2 Co 2.63, 4 Pt 2.71-2.74
Pt 0.5248 0.0495 0.2701  2 Ni 2.48-2.57, 2 Co 2.63, 4 Pt 2.71-2.74
Pt 0.8946 0.2872 0.6406  4 Ni 2.52-2.60, 5 Pt 2.70-2.78
Pt 0.3926 0.2872 0.6406  4 Ni 2.52-2.60, 5 Pt 2.70-2.78
Pt 0.9364 0.3759 0.1426  3 Ni 2.55-2.72, 1 Co 2.65, 5 Pt 2.70-2.78
Pt 0.4396 0.3759 0.1426  3 Ni 2.55-2.72, 1 Co 2.65, 5 Pt 2.70-2.78
Pt 0.9833 0.9667 0.7741  1 Ni 2.41, 2 Co 2.49

---

First-principles (PBE) data for crystalline NaCaV at its relaxed geometry, as listed in Alexandria via LeMat-Bulk.

Output
- ΔE to the lowest computed polymorph: 464 meV per atom
- Formation energy from the elements: 0.74 eV per atom

Cell: 5.4492 5.4492 7.3798 Å, 90.00 90.00 120.00°
With the nearest neighbours (Å) after each atom.
Fractional coordinates of all 6 atoms:
Na 0.6667 0.3333 0.0000  2 Na 3.69, 6 Ca 3.72
Na 0.6667 0.3333 0.5000  6 V 3.27, 6 Ca 3.58
Ca 0.3333 0.6667 0.2698  3 V 3.24, 1 Ca 3.40, 3 Na 3.58
Ca 0.3333 0.6667 0.7302  3 V 3.24, 1 Ca 3.40, 3 Na 3.58
V 0.0000 0.0000 0.3769  1 V 1.82
V 0.0000 0.0000 0.6231  1 V 1.82

---

First-principles (PBE) data for crystalline Y3ErTl4Se8 at its relaxed geometry, as listed in Alexandria via LeMat-Bulk.

Output
- Uncorrected formation energy: -1.39 eV per atom

Cell: 8.3623 9.1509 8.3621 Å, 117.21 120.00 90.00°
With the nearest neighbours (Å) after each atom.
Fractional coordinates of all 16 atoms:
Y 0.5000 0.5000 0.0000  6 Se 2.89
Y 0.5000 0.5000 0.5000  6 Se 2.89
Y 0.0000 0.5000 0.5000  6 Se 2.89
Er 0.0000 0.5000 0.0000  6 Se 2.87
Tl 0.5000 0.0000 0.0000  6 Se 3.35
Tl 0.5000 0.0000 0.5000  6 Se 3.33
Tl 0.0000 0.0000 0.0000  6 Se 3.33
Tl 0.0000 0.0000 0.5000  6 Se 3.33
Se 0.2335 0.7038 0.9704  1 Er 2.87, 2 Y 2.89
Se 0.2335 0.7038 0.4670  1 Er 2.87, 2 Y 2.89
Se 0.2650 0.2951 0.5300  3 Y 2.89
Se 0.7369 0.7038 0.9704  1 Er 2.87, 2 Y 2.89
Se 0.2631 0.2962 0.0296  1 Er 2.87, 2 Y 2.89
Se 0.7350 0.7049 0.4700  3 Y 2.89
Se 0.7665 0.2962 0.5330  1 Er 2.87, 2 Y 2.89
Se 0.7665 0.2962 0.0296  1 Er 2.87, 2 Y 2.89

---

First-principles (PBE) data for crystalline AlAsOs at its relaxed geometry, as listed in Alexandria via LeMat-Bulk.

Output
- ΔE to the lowest computed polymorph: 179 meV per atom
- Formation energy from the elements: 0.16 eV per atom

Cell: 4.2437 4.2437 3.0047 Å, 90.00 90.00 120.00°
With the nearest neighbours (Å) after each atom.
Fractional coordinates of all 3 atoms:
As 0.3333 0.6667 0.5003  3 Os 2.45
Os 0.6667 0.3333 0.5001  3 As 2.45
Al 0.0000 0.0000 0.9996  6 As 2.87-2.88, 6 Os 2.87, 2 Al 3.00

---

First-principles (PBE) data for crystalline TbPaInHg at its relaxed geometry, as listed in Alexandria via LeMat-Bulk.

Output
- Formation energy from the elements: -0.06 eV per atom

Cell: 5.3126 5.3126 5.3126 Å, 60.00 60.00 60.00°
With the nearest neighbours (Å) after each atom.
Fractional coordinates of all 4 atoms:
Pa 0.7500 0.7500 0.7500  4 Hg 3.25, 4 In 3.25
Tb 0.2500 0.2500 0.2500  4 Hg 3.25, 4 In 3.25
Hg 0.5000 0.5000 0.5000  4 Tb 3.25, 4 Pa 3.25
In 0.0000 0.0000 0.0000  4 Tb 3.25, 4 Pa 3.25

---

First-principles (PBE) data for crystalline NbH2S at its relaxed geometry, as listed in Alexandria via LeMat-Bulk.

Output
- ΔE to the lowest computed polymorph: 983 meV per atom

Cell: 3.2113 3.2113 4.7060 Å, 70.05 70.05 60.00°
With the nearest neighbours (Å) after each atom.
Fractional coordinates of all 4 atoms:
H 0.1417 0.1417 0.5750  1 Nb 1.84, 3 S 1.88, 3 H 1.96
H 0.8583 0.8583 0.4250  1 Nb 1.84, 3 S 1.88, 3 H 1.96
Nb 0.0000 0.0000 0.0000  2 H 1.84
S 0.5000 0.5000 0.5000  6 H 1.88

---

First-principles (PBE) data for crystalline LiCePa at its relaxed geometry, as listed in Alexandria via LeMat-Bulk.

Output
- ΔE to the lowest computed polymorph: 107 meV per atom
- Formation energy from the elements: 0.19 eV per atom

Cell: 3.0936 3.0936 8.7693 Å, 90.00 90.00 120.00°
With the nearest neighbours (Å) after each atom.
Fractional coordinates of all 3 atoms:
Pa 0.3333 0.6667 0.6698  6 Pa 3.09, 3 Li 3.37, 3 Ce 3.44
Ce 0.6667 0.3333 0.3341  6 Ce 3.09, 3 Pa 3.44, 3 Li 3.46
Li 0.0000 0.0000 0.9961  6 Li 3.09, 3 Pa 3.37, 3 Ce 3.46

---

First-principles (PBE) data for crystalline KZn2InPt at its relaxed geometry, as listed in Alexandria via LeMat-Bulk.

Output
- ΔE to the lowest computed polymorph: 1293 meV per atom
- Formation energy from the elements: 1.02 eV per atom

Cell: 5.6052 5.5506 5.6052 Å, 90.00 90.00 90.00°
With the nearest neighbours (Å) after each atom.
Fractional coordinates of all 5 atoms:
Zn 0.0000 0.0000 0.5000  2 K 2.80
Zn 0.5000 0.0000 0.0000  2 K 2.80
K 0.0000 0.0000 0.0000  2 Pt 2.78, 4 Zn 2.80
Pt 0.0000 0.5000 0.0000  2 K 2.78
In 0.5000 0.5000 0.5000  8 Zn 3.94, 4 Pt 3.96

---

First-principles (PBE) data for crystalline Y5Er4Th at its relaxed geometry, as listed in Alexandria via LeMat-Bulk.

Output
- ΔE to the lowest computed polymorph: 304 meV per atom
- Formation energy from the elements: 0.34 eV per atom

Cell: 6.3695 7.8592 7.8591 Å, 80.55 66.09 66.09°
With the nearest neighbours (Å) after each atom.
Fractional coordinates of all 10 atoms:
Y 0.8067 0.3795 0.9089  4 Er 3.21-3.53, 1 Y 3.27, 1 Th 3.30
Y 0.1861 0.9089 0.6205  4 Er 3.21-3.53, 1 Y 3.27, 1 Th 3.30
Y 0.7156 0.0911 0.3795  4 Er 3.21-3.53, 1 Y 3.27, 1 Th 3.30
Y 0.0951 0.6205 0.0911  4 Er 3.21-3.53, 1 Y 3.27, 1 Th 3.30
Y 0.6878 0.0000 0.0000  1 Th 2.95, 4 Y 3.27
Er 0.3973 0.3998 0.7030  4 Y 3.21-3.53, 1 Er 3.25
Er 0.7971 0.7030 0.6002  4 Y 3.21-3.53, 1 Er 3.25
Er 0.1003 0.2970 0.3998  4 Y 3.21-3.53, 1 Er 3.25
Er 0.5001 0.6002 0.2970  4 Y 3.21-3.53, 1 Er 3.25
Th 0.2244 0.0000 0.0000  5 Y 2.95-3.30

---

First-principles (PBE) data for crystalline Zr2AuC at its relaxed geometry, as listed in Alexandria via LeMat-Bulk.

Output
- Formation energy from the elements: -0.66 eV per atom

Cell: 3.3563 3.3563 7.3734 Å, 89.99 103.18 119.97°
With the nearest neighbours (Å) after each atom.
Fractional coordinates of all 4 atoms:
Zr 0.5461 0.2733 0.8194  3 C 2.33
Zr 0.4539 0.7267 0.1806  3 C 2.33
Au 0.0000 0.5000 0.5000  6 Zr 2.98-2.99
C 0.0000 0.0000 0.0000  6 Zr 2.33

---

First-principles (PBE) data for crystalline PrNd2Dy4Er at its relaxed geometry, as listed in Alexandria via LeMat-Bulk.

Output
- Formation energy from the elements: 0.41 eV per atom

Cell: 9.5422 9.5420 11.8815 Å, 128.50 128.50 88.23°
With the nearest neighbours (Å) after each atom.
Fractional coordinates of all 16 atoms:
Pr 0.0000 0.5000 0.0000  6 Dy 3.32-3.43, 2 Nd 3.41
Pr 0.0000 0.5000 0.5000  6 Dy 3.32-3.43, 2 Nd 3.41
Nd 0.5000 0.0000 0.0000  6 Dy 3.32-3.43, 2 Pr 3.41
Nd 0.5000 0.0000 0.5000  6 Dy 3.32-3.43, 2 Pr 3.41
Nd 0.0000 0.0000 0.5000  6 Dy 3.40-3.48, 2 Nd 3.41
Nd 0.5000 0.5000 0.0000  6 Dy 3.40-3.48, 2 Nd 3.41
Dy 0.2441 0.7561 0.0001  1 Er 3.24, 3 Nd 3.40-3.43, 2 Dy 3.41, 2 Pr 3.43
Dy 0.7439 0.2559 0.4998  1 Er 3.24, 3 Nd 3.40-3.43, 2 Dy 3.41, 2 Pr 3.43
Dy 0.2561 0.7441 0.5002  1 Er 3.24, 3 Nd 3.40-3.43, 2 Dy 3.41, 2 Pr 3.43
Dy 0.7559 0.2439 0.9999  1 Er 3.24, 3 Nd 3.40-3.43, 2 Dy 3.41, 2 Pr 3.43
Dy 0.7486 0.7488 0.9935  3 Nd 3.32-3.48, 1 Pr 3.32, 2 Er 3.37-3.38, 2 Dy 3.41
Dy 0.7513 0.7513 0.5065  3 Nd 3.32-3.48, 1 Pr 3.32, 2 Er 3.37-3.38, 2 Dy 3.41
Dy 0.2487 0.2487 0.4935  3 Nd 3.32-3.48, 1 Pr 3.32, 2 Er 3.37-3.38, 2 Dy 3.41
Dy 0.2514 0.2512 0.0065  3 Nd 3.32-3.48, 1 Pr 3.32, 2 Er 3.37-3.38, 2 Dy 3.41
Er 0.5000 0.5000 0.5000  6 Dy 3.24-3.38, 2 Er 3.41
Er 0.0000 0.0000 0.0000  6 Dy 3.24-3.38, 2 Er 3.41

---

First-principles (PBE) data for crystalline ZrCu2Sb at its relaxed geometry, as listed in Alexandria via LeMat-Bulk.

Output
- Uncorrected formation energy: 0.03 eV per atom

Cell: 4.6694 4.6694 4.6694 Å, 60.00 60.00 60.00°
With the nearest neighbours (Å) after each atom.
Fractional coordinates of all 4 atoms:
Cu 0.0000 0.0000 0.0000  4 Zr 2.86, 4 Cu 2.86
Cu 0.7500 0.7500 0.7500  4 Sb 2.86, 4 Cu 2.86
Sb 0.5000 0.5000 0.5000  4 Cu 2.86, 4 Zr 2.86
Zr 0.2500 0.2500 0.2500  4 Sb 2.86, 4 Cu 2.86